A geometry-optimized Ta6TeSe2 structure. Source: the Alexandria database, functional PBEsol.

```
18
Lattice="-1.1027 -1.5919 -4.3611 -0.1557 -5.8445 4.7832 -9.9709 1.9547 1.8077" Properties=species:S:1:pos:R:3 pbc="T T T"
Se -4.0113 -4.9003 2.8030
Te -7.3305 -5.0518 1.0871
Ta -9.9300 -0.0743 -0.0725
Ta -8.2717 -3.9923 3.5488
Ta -2.9576 -1.4894 -1.3190
Se -6.8848 -1.9783 2.4630
Ta -8.6009 -2.5671 0.5013
Se -4.3445 -3.5034 -0.2331
Ta -1.6252 -3.9895 -0.7433
Ta -9.6042 -1.4921 2.9731
Ta -2.6285 -2.9146 1.7285
Ta -1.2993 -5.4073 2.3023
Ta -10.3549 -4.5171 1.6566
Se -7.2180 -0.5813 -0.5732
Te -3.8989 -0.4298 1.1428
Ta -0.8745 -0.9645 0.5732
Ta -3.4096 -5.9115 0.4095
Ta -7.8197 0.4299 1.8204
```

Properties
Spin magnetization, μB per formula unit: 0.00
Raw formation energy, eV per atom: -0.395